VASP calculation (PBE) on a relaxed structure of Yb5Ir3.

POSCAR file:
```
Yb5Ir3
1.0
8.339 0.000 0.000
-4.169 7.221 0.000
0.000 0.000 6.095
Yb Ir
10 6
direct
0.000 0.262 0.250
0.000 0.738 0.750
0.262 0.000 0.250
0.262 0.262 0.750
0.333 0.667 0.000
0.333 0.667 0.500
0.667 0.333 0.000
0.667 0.333 0.500
0.738 0.000 0.750
0.738 0.738 0.250
0.000 0.391 0.750
0.000 0.609 0.250
0.391 0.000 0.750
0.391 0.391 0.250
0.609 0.000 0.250
0.609 0.609 0.750
```

Summary:
**D(E_F)**: 7.793 states/eV per atom
**ΔE_f**: -504.2 meV per atom
**Size of the total moment**: 0.58 μB per cell
**Calculated density**: 13047 kg/m³